Ca2WF8: optimized geometry, PBE with a Hubbard U.

a b c (Å): 4.4426 6.8775 6.8775
angles (deg): 120.00 90.00 90.00
With the nearest neighbours (Å) after each atom.
Atoms (fractional coordinates):
Ca: 0.7587 0.3333 0.6667  5 F 2.21-2.26
Ca: 0.2413 0.6667 0.3333  5 F 2.21-2.26
F: 0.7391 0.1440 0.2880  1 W 2.02, 1 Ca 2.26
F: 0.2609 0.8560 0.1440  1 W 2.02, 1 Ca 2.26
F: 0.7430 0.6667 0.3333  2 Ca 2.21-2.23
F: 0.7391 0.1440 0.8560  1 W 2.02, 1 Ca 2.26
F: 0.7391 0.7120 0.8560  1 W 2.02, 1 Ca 2.26
F: 0.2570 0.3333 0.6667  2 Ca 2.21-2.23
F: 0.2609 0.8560 0.7120  1 W 2.02, 1 Ca 2.26
F: 0.2609 0.2880 0.1440  1 W 2.02, 1 Ca 2.26
W: 0.5000 0.0000 0.0000  6 F 2.02

Values from the calculation:
space-group type	P-3m1 (164)
size of the total moment	0.18	μB per atom
final energy	-5.59	eV/atom